Crystalline LaPrGa4 at its relaxed geometry. Source: Alexandria, functional PBE-GGA.

The structure in POSCAR format:
```
LaPrGa4
1.0
5.6891 0.0000 0.0000
2.8446 4.9269 0.0000
2.8446 1.6423 4.6452
Ga La Pr
4 1 1
Direct
0.6251 0.6251 0.6251 Ga
0.6251 0.1246 0.6251 Ga
0.1246 0.6251 0.6251 Ga
0.6251 0.6251 0.1246 Ga
0.0000 0.0000 0.0000 La
0.2500 0.2500 0.2500 Pr
```

* SG: F-43m, No. 216
* energy: -4.21 eV/atom
* N(E_F): 0.579 states/eV per atom
* total moment: 0.00 μB/cell
* volume: 21.701 A^3/atom
* ΔH_f (0 K): -576 meV/atom